Density functional theory data (PBE) for a relaxed RuSe5 crystal.

a b c (Å): 3.0928 3.0928 13.1968
angles (deg): 90.00 90.00 90.00
Fractional positions:
Ru 0.0000 0.0000 0.0000
Se 0.0000 0.0000 0.3592
Se 0.0000 0.0000 0.6408
Se 0.5000 0.5000 0.1156
Se 0.5000 0.5000 0.5000
Se 0.5000 0.5000 0.8844

Density of states at the Fermi level in states/eV per atom: 0.4039
Crystal system: tetragonal
Magnetization in μB/f.u.: 0.429
Space group: P4/mmm (123)
Excess energy over the best structure of this formula in the dataset in eV/atom: 0.348
Formation energy (no corrections) in eV/f.u.: 2.102